DFT (PBE-GGA) results for Y2OsBr after structural relaxation.

Values from the calculation:
For the calculated volume, the calculation gives 99.8 Å³/cell. As for the excess energy over the best structure of this formula in the dataset: 0.0 kJ/mol of atoms. Its density is 7.45 g/cm³. The total energy is -7.18 eV per atom. The calculation puts the uncorrected formation energy at -720 meV/atom.

CIF file:
```
data_Y2OsBr
_chemical_formula_sum 'Y2 Os1 Br1'
_space_group_name_H-M_alt 'P m m m'
_space_group_IT_number 47
_space_group_name_Hall '-P 2 2'
_cell_length_a 3.434
_cell_length_b 3.483
_cell_length_c 8.345
_cell_angle_alpha 90.00
_cell_angle_beta 90.00
_cell_angle_gamma 90.00
loop_
_atom_site_label
_atom_site_fract_x
_atom_site_fract_y
_atom_site_fract_z
Y1 0.000 0.000 0.199
Os1 0.500 0.500 0.000
Br1 0.500 0.000 0.500
```

---

DFT (PBE-GGA) results for YOsBr3 after structural relaxation.

Values from the calculation:
For the calculated volume, the calculation gives 127.8 Å³/cell. As for the excess energy over the best structure of this formula in the dataset: 7.9 kJ/mol of atoms. Its density is 6.74 g/cm³. The total energy is -4.24 eV per atom. The calculation puts the uncorrected formation energy at 305 meV/atom.

CIF file:
```
data_YOsBr3
_chemical_formula_sum 'Y1 Os1 Br3'
_space_group_name_H-M_alt 'P m -3 m'
_space_group_IT_number 221
_space_group_name_Hall '-P 4 2 3'
_cell_length_a 5.037
_cell_length_b 5.037
_cell_length_c 5.037
_cell_angle_alpha 90.00
_cell_angle_beta 90.00
_cell_angle_gamma 90.00
loop_
_atom_site_label
_atom_site_fract_x
_atom_site_fract_y
_atom_site_fract_z
Y1 0.000 0.000 0.000
Os1 0.500 0.500 0.500
Br1 0.000 0.500 0.500
```

---

DFT (PBE-GGA) results for Y2OsBr after structural relaxation.

Values from the calculation:
For the calculated volume, the calculation gives 182.5 Å³/cell. As for the excess energy over the best structure of this formula in the dataset: 31.9 kJ/mol of atoms. Its density is 8.15 g/cm³. The total energy is -6.85 eV per atom. The calculation puts the uncorrected formation energy at -389 meV/atom.

CIF file:
```
data_Y2OsBr
_chemical_formula_sum 'Y4 Os2 Br2'
_space_group_name_H-M_alt 'A m m 2'
_space_group_IT_number 38
_space_group_name_Hall 'A 2 -2'
_cell_length_a 4.815
_cell_length_b 3.474
_cell_length_c 10.911
_cell_angle_alpha 90.00
_cell_angle_beta 90.00
_cell_angle_gamma 90.00
loop_
_atom_site_label
_atom_site_fract_x
_atom_site_fract_y
_atom_site_fract_z
Y1 0.000 0.000 0.000
Y2 0.500 0.000 0.269
Os1 0.500 0.000 0.523
Br1 0.000 0.000 0.735
```

---

DFT (PBE-GGA) results for Y2OsBr after structural relaxation.

Values from the calculation:
For the calculated volume, the calculation gives 320.6 Å³/cell. As for the excess energy over the best structure of this formula in the dataset: 85.5 kJ/mol of atoms. Its density is 6.96 g/cm³. The total energy is -6.29 eV per atom. The calculation puts the uncorrected formation energy at 166 meV/atom.

CIF file:
```
data_Y2OsBr
_chemical_formula_sum 'Y6 Os3 Br3'
_space_group_name_H-M_alt 'R 3 m'
_space_group_IT_number 160
_space_group_name_Hall 'R 3 -2"'
_cell_length_a 3.4761
_cell_length_b 3.4761
_cell_length_c 30.6381
_cell_angle_alpha 90.00
_cell_angle_beta 90.00
_cell_angle_gamma 120.00
loop_
_atom_site_label
_atom_site_fract_x
_atom_site_fract_y
_atom_site_fract_z
Y1 0.0000 0.0000 0.0000
Y2 0.0000 0.0000 0.2291
Os1 0.0000 0.0000 0.7283
Br1 0.0000 0.0000 0.4955
```

---

DFT (PBE-GGA) results for ZnOsBr after structural relaxation.

Values from the calculation:
For the calculated volume, the calculation gives 52.1 Å³/cell. As for the excess energy over the best structure of this formula in the dataset: 0.0 kJ/mol of atoms. Its density is 10.69 g/cm³. The total energy is -3.95 eV per atom. The calculation puts the uncorrected formation energy at 771 meV/atom.

CIF file:
```
data_ZnOsBr
_chemical_formula_sum 'Zn1 Os1 Br1'
_space_group_name_H-M_alt 'P 3 m 1'
_space_group_IT_number 156
_space_group_name_Hall 'P 3 -2"'
_cell_length_a 3.0994
_cell_length_b 3.0994
_cell_length_c 6.2659
_cell_angle_alpha 90.00
_cell_angle_beta 90.00
_cell_angle_gamma 120.00
loop_
_atom_site_label
_atom_site_fract_x
_atom_site_fract_y
_atom_site_fract_z
Zn1 0.0000 0.0000 0.0000
Os1 0.6667 0.3333 0.6999
Br1 0.3333 0.6667 0.3833
```

---

DFT (PBE-GGA) results for Zn2OsBr after structural relaxation.

Values from the calculation:
For the calculated volume, the calculation gives 270.1 Å³/cell. As for the excess energy over the best structure of this formula in the dataset: 68.9 kJ/mol of atoms. Its density is 9.86 g/cm³. The total energy is -2.86 eV per atom. The calculation puts the uncorrected formation energy at 1002 meV/atom.

CIF file:
```
data_Zn2OsBr
_chemical_formula_sum 'Zn8 Os4 Br4'
_space_group_name_H-M_alt 'F m -3 m'
_space_group_IT_number 225
_space_group_name_Hall '-F 4 2 3'
_cell_length_a 6.464
_cell_length_b 6.464
_cell_length_c 6.464
_cell_angle_alpha 90.00
_cell_angle_beta 90.00
_cell_angle_gamma 90.00
loop_
_atom_site_label
_atom_site_fract_x
_atom_site_fract_y
_atom_site_fract_z
Zn1 0.250 0.250 0.250
Os1 0.000 0.000 0.000
Br1 0.000 0.000 0.500
```

---

DFT (PBE-GGA) results for ZnOs3Br after structural relaxation.

Values from the calculation:
For the calculated volume, the calculation gives 93.8 Å³/cell. As for the excess energy over the best structure of this formula in the dataset: 0.0 kJ/mol of atoms. Its density is 12.68 g/cm³. The total energy is -4.93 eV per atom. The calculation puts the uncorrected formation energy at 2397 meV/atom.

CIF file:
```
data_ZnOs3Br
_chemical_formula_sum 'Zn1 Os3 Br1'
_space_group_name_H-M_alt 'P m -3 m'
_space_group_IT_number 221
_space_group_name_Hall '-P 4 2 3'
_cell_length_a 4.544
_cell_length_b 4.544
_cell_length_c 4.544
_cell_angle_alpha 90.00
_cell_angle_beta 90.00
_cell_angle_gamma 90.00
loop_
_atom_site_label
_atom_site_fract_x
_atom_site_fract_y
_atom_site_fract_z
Zn1 0.000 0.000 0.000
Os1 0.000 0.500 0.500
Br1 0.500 0.500 0.500
```

---

DFT (PBE-GGA) results for Zn2OsBr after structural relaxation.

Values from the calculation:
For the calculated volume, the calculation gives 159.7 Å³/cell. As for the excess energy over the best structure of this formula in the dataset: 8.6 kJ/mol of atoms. Its density is 8.34 g/cm³. The total energy is -3.49 eV per atom. The calculation puts the uncorrected formation energy at 377 meV/atom.

CIF file:
```
data_Zn2OsBr
_chemical_formula_sum 'Zn4 Os2 Br2'
_space_group_name_H-M_alt 'I m m 2'
_space_group_IT_number 44
_space_group_name_Hall 'I 2 -2'
_cell_length_a 2.937
_cell_length_b 4.290
_cell_length_c 12.671
_cell_angle_alpha 90.00
_cell_angle_beta 90.00
_cell_angle_gamma 90.00
loop_
_atom_site_label
_atom_site_fract_x
_atom_site_fract_y
_atom_site_fract_z
Zn1 0.000 0.000 0.000
Zn2 0.000 0.500 0.142
Os1 0.000 0.000 0.476
Br1 0.000 0.500 0.807
```

---

DFT (PBE-GGA) results for ZnOs2Br after structural relaxation.

Values from the calculation:
For the calculated volume, the calculation gives 61.1 Å³/cell. As for the excess energy over the best structure of this formula in the dataset: 71.1 kJ/mol of atoms. Its density is 14.29 g/cm³. The total energy is -5.23 eV per atom. The calculation puts the uncorrected formation energy at 1118 meV/atom.

CIF file:
```
data_ZnOs2Br
_chemical_formula_sum 'Zn1 Os2 Br1'
_space_group_name_H-M_alt 'P 4/m m m'
_space_group_IT_number 123
_space_group_name_Hall '-P 4 2'
_cell_length_a 3.130
_cell_length_b 3.130
_cell_length_c 6.234
_cell_angle_alpha 90.00
_cell_angle_beta 90.00
_cell_angle_gamma 90.00
loop_
_atom_site_label
_atom_site_fract_x
_atom_site_fract_y
_atom_site_fract_z
Zn1 0.000 0.000 0.000
Os1 0.500 0.500 0.224
Br1 0.000 0.000 0.500
```

---

DFT (PBE-GGA) results for Zn2OsBr after structural relaxation.

Values from the calculation:
For the calculated volume, the calculation gives 147.0 Å³/cell. As for the excess energy over the best structure of this formula in the dataset: 32.6 kJ/mol of atoms. Its density is 9.06 g/cm³. The total energy is -3.24 eV per atom. The calculation puts the uncorrected formation energy at 626 meV/atom.

CIF file:
```
data_Zn2OsBr
_chemical_formula_sum 'Zn4 Os2 Br2'
_space_group_name_H-M_alt 'C m m 2'
_space_group_IT_number 35
_space_group_name_Hall 'C 2 -2'
_cell_length_a 2.815
_cell_length_b 5.313
_cell_length_c 9.828
_cell_angle_alpha 90.00
_cell_angle_beta 90.00
_cell_angle_gamma 90.00
loop_
_atom_site_label
_atom_site_fract_x
_atom_site_fract_y
_atom_site_fract_z
Zn1 0.000 0.000 0.000
Zn2 0.000 0.500 0.233
Os1 0.000 0.000 0.455
Br1 0.000 0.500 0.668
```